# CdAgAs2 GGA-PBE relaxed
data_CdAgAs2
_cell_length_a 2.994
_cell_length_b 2.994
_cell_length_c 10.008
_cell_angle_alpha 90.00
_cell_angle_beta 90.00
_cell_angle_gamma 118.09
_symmetry_space_group_name_H-M 'P 1'
_symmetry_Int_Tables_number 1
loop_
_symmetry_equiv_pos_as_xyz
'x,y,z'
loop_
_atom_site_label
_atom_site_fract_x
_atom_site_fract_y
_atom_site_fract_z
Cd1 0.000 0.000 0.000
Ag1 0.500 0.500 0.754
As1 0.000 0.000 0.520
As2 0.500 0.500 0.251
# * ΔE_f: 0.24 eV/atom
# * final energy: -3.0292 eV/atom
# * calculated volume: 79.12 Å³/cell


# BaCd6Ag6 GGA-PBE relaxed
data_BaCd6Ag6
_cell_length_a 7.684
_cell_length_b 7.684
_cell_length_c 7.684
_cell_angle_alpha 136.96
_cell_angle_beta 98.57
_cell_angle_gamma 96.90
_symmetry_space_group_name_H-M 'P 1'
_symmetry_Int_Tables_number 1
loop_
_symmetry_equiv_pos_as_xyz
'x,y,z'
loop_
_atom_site_label
_atom_site_fract_x
_atom_site_fract_y
_atom_site_fract_z
Ba1 0.000 0.000 0.000
Cd1 0.208 0.708 0.500
Cd2 0.352 0.000 0.352
Cd3 0.354 0.354 0.000
Cd4 0.646 0.646 0.000
Cd5 0.648 0.000 0.648
Cd6 0.792 0.292 0.500
Ag1 0.000 0.000 0.500
Ag2 0.000 0.500 0.000
Ag3 0.227 0.500 0.727
Ag4 0.500 0.000 0.000
Ag5 0.500 0.500 0.500
Ag6 0.773 0.500 0.273
# * ΔE_f: -0.13 eV/atom
# * final energy: -2.0137 eV/atom
# * calculated volume: 288.06 Å³/cell


> The highest final energy belongs to which entry?

BaCd6Ag6


> What is the formula in the second record?

BaCd6Ag6


> What is the calculated volume in the second record?

288.06 Å³/cell


Repeat the second record exactly.
# BaCd6Ag6 GGA-PBE relaxed
data_BaCd6Ag6
_cell_length_a 7.684
_cell_length_b 7.684
_cell_length_c 7.684
_cell_angle_alpha 136.96
_cell_angle_beta 98.57
_cell_angle_gamma 96.90
_symmetry_space_group_name_H-M 'P 1'
_symmetry_Int_Tables_number 1
loop_
_symmetry_equiv_pos_as_xyz
'x,y,z'
loop_
_atom_site_label
_atom_site_fract_x
_atom_site_fract_y
_atom_site_fract_z
Ba1 0.000 0.000 0.000
Cd1 0.208 0.708 0.500
Cd2 0.352 0.000 0.352
Cd3 0.354 0.354 0.000
Cd4 0.646 0.646 0.000
Cd5 0.648 0.000 0.648
Cd6 0.792 0.292 0.500
Ag1 0.000 0.000 0.500
Ag2 0.000 0.500 0.000
Ag3 0.227 0.500 0.727
Ag4 0.500 0.000 0.000
Ag5 0.500 0.500 0.500
Ag6 0.773 0.500 0.273
# * ΔE_f: -0.13 eV/atom
# * final energy: -2.0137 eV/atom
# * calculated volume: 288.06 Å³/cell